# FeCoBOs (PBE, optimized geometry)
# **Total energy**: -8.08 eV per atom
# **M_tot**: 3.929 μB/f.u.
data_FeCoBOs
_chemical_formula_sum 'Fe4 Co4 B4 Os4'
_symmetry_space_group_name_H-M 'F -4 3 m'
_symmetry_Int_Tables_number 216
_symmetry_space_group_name_Hall 'F -4 2 3'
_cell_length_a 5.569
_cell_length_b 5.569
_cell_length_c 5.569
_cell_angle_alpha 90.00
_cell_angle_beta 90.00
_cell_angle_gamma 90.00
loop_
_atom_site_label
_atom_site_type_symbol
_atom_site_fract_x
_atom_site_fract_y
_atom_site_fract_z
Fe1 Fe 0.000 0.000 0.000
Co1 Co 0.250 0.250 0.250
B1 B 0.000 0.000 0.500
Os1 Os 0.250 0.250 0.750

# Fe4CoB2P (PBE, optimized geometry)
# **Total energy**: -7.77 eV per atom
# **M_tot**: 6.640 μB/f.u.
data_Fe4CoB2P
_chemical_formula_sum 'Fe16 Co4 B8 P4'
_symmetry_space_group_name_H-M 'I 4/m c m'
_symmetry_Int_Tables_number 140
_symmetry_space_group_name_Hall '-I 4 2c'
_cell_length_a 5.351
_cell_length_b 5.351
_cell_length_c 10.485
_cell_angle_alpha 90.00
_cell_angle_beta 90.00
_cell_angle_gamma 90.00
loop_
_atom_site_label
_atom_site_type_symbol
_atom_site_fract_x
_atom_site_fract_y
_atom_site_fract_z
Fe1 Fe 0.169 0.331 0.140
Co1 Co 0.000 0.000 0.000
B1 B 0.121 0.379 0.500
P1 P 0.000 0.000 0.250

# FeCoReB (PBE, optimized geometry)
# **Total energy**: -8.39 eV per atom
# **M_tot**: 2.295 μB/f.u.
data_FeCoReB
_chemical_formula_sum 'Fe4 Co4 Re4 B4'
_symmetry_space_group_name_H-M 'F -4 3 m'
_symmetry_Int_Tables_number 216
_symmetry_space_group_name_Hall 'F -4 2 3'
_cell_length_a 5.554
_cell_length_b 5.554
_cell_length_c 5.554
_cell_angle_alpha 90.00
_cell_angle_beta 90.00
_cell_angle_gamma 90.00
loop_
_atom_site_label
_atom_site_type_symbol
_atom_site_fract_x
_atom_site_fract_y
_atom_site_fract_z
Fe1 Fe 0.000 0.000 0.000
Co1 Co 0.250 0.250 0.750
Re1 Re 0.250 0.250 0.250
B1 B 0.000 0.000 0.500

# ScFeCoB2 (PBE, optimized geometry)
# **Total energy**: -7.56 eV per atom
# **M_tot**: 0.914 μB/f.u.
data_ScFeCoB2
_chemical_formula_sum 'Sc2 Fe2 Co2 B4'
_symmetry_space_group_name_H-M 'I -4 m 2'
_symmetry_Int_Tables_number 119
_symmetry_space_group_name_Hall 'I -4 -2'
_cell_length_a 3.465
_cell_length_b 3.465
_cell_length_c 8.543
_cell_angle_alpha 90.00
_cell_angle_beta 90.00
_cell_angle_gamma 90.00
loop_
_atom_site_label
_atom_site_type_symbol
_atom_site_fract_x
_atom_site_fract_y
_atom_site_fract_z
Sc1 Sc 0.000 0.000 0.000
Fe1 Fe 0.000 0.500 0.250
Co1 Co 0.000 0.500 0.750
B1 B 0.000 0.000 0.383

# TaFeCoB (PBE, optimized geometry)
# **Total energy**: -8.31 eV per atom
# **M_tot**: 2.993 μB/f.u.
data_TaFeCoB
_chemical_formula_sum 'Ta4 Fe4 Co4 B4'
_symmetry_space_group_name_H-M 'F -4 3 m'
_symmetry_Int_Tables_number 216
_symmetry_space_group_name_Hall 'F -4 2 3'
_cell_length_a 5.699
_cell_length_b 5.699
_cell_length_c 5.699
_cell_angle_alpha 90.00
_cell_angle_beta 90.00
_cell_angle_gamma 90.00
loop_
_atom_site_label
_atom_site_type_symbol
_atom_site_fract_x
_atom_site_fract_y
_atom_site_fract_z
Ta1 Ta 0.000 0.000 0.000
Fe1 Fe 0.250 0.250 0.750
Co1 Co 0.000 0.000 0.500
B1 B 0.250 0.250 0.250

# TaFeCoB (PBE, optimized geometry)
# **Total energy**: -8.30 eV per atom
# **M_tot**: 2.668 μB/f.u.
data_TaFeCoB
_chemical_formula_sum 'Ta4 Fe4 Co4 B4'
_symmetry_space_group_name_H-M 'F -4 3 m'
_symmetry_Int_Tables_number 216
_symmetry_space_group_name_Hall 'F -4 2 3'
_cell_length_a 5.687
_cell_length_b 5.687
_cell_length_c 5.687
_cell_angle_alpha 90.00
_cell_angle_beta 90.00
_cell_angle_gamma 90.00
loop_
_atom_site_label
_atom_site_type_symbol
_atom_site_fract_x
_atom_site_fract_y
_atom_site_fract_z
Ta1 Ta 0.000 0.000 0.000
Fe1 Fe 0.000 0.000 0.500
Co1 Co 0.250 0.250 0.750
B1 B 0.250 0.250 0.250

# TaFeCoB (PBE, optimized geometry)
# **Total energy**: -8.40 eV per atom
# **M_tot**: 1.017 μB/f.u.
data_TaFeCoB
_chemical_formula_sum 'Ta4 Fe4 Co4 B4'
_symmetry_space_group_name_H-M 'F -4 3 m'
_symmetry_Int_Tables_number 216
_symmetry_space_group_name_Hall 'F -4 2 3'
_cell_length_a 5.640
_cell_length_b 5.640
_cell_length_c 5.640
_cell_angle_alpha 90.00
_cell_angle_beta 90.00
_cell_angle_gamma 90.00
loop_
_atom_site_label
_atom_site_type_symbol
_atom_site_fract_x
_atom_site_fract_y
_atom_site_fract_z
Ta1 Ta 0.000 0.000 0.000
Fe1 Fe 0.250 0.250 0.250
Co1 Co 0.250 0.250 0.750
B1 B 0.000 0.000 0.500

# YFe3CoB (PBE, optimized geometry)
# **Total energy**: -7.76 eV per atom
# **M_tot**: 6.856 μB/f.u.
data_YFe3CoB
_chemical_formula_sum 'Y2 Fe6 Co2 B2'
_symmetry_space_group_name_H-M 'P 6/m m m'
_symmetry_Int_Tables_number 191
_symmetry_space_group_name_Hall '-P 6 2'
_cell_length_a 5.0476
_cell_length_b 5.0476
_cell_length_c 7.0015
_cell_angle_alpha 90.00
_cell_angle_beta 90.00
_cell_angle_gamma 120.00
loop_
_atom_site_label
_atom_site_type_symbol
_atom_site_fract_x
_atom_site_fract_y
_atom_site_fract_z
Y1 Y 0.0000 0.0000 0.0000
Y2 Y 0.0000 0.0000 0.5000
Fe1 Fe 0.0000 0.5000 0.2138
Co1 Co 0.3333 0.6667 0.5000
B1 B 0.3333 0.6667 0.0000